This record from Alexandria describes a relaxed structure of TbHfIrOs. The functional is PBE-GGA.

Cell lengths 6.6844, 6.6844, 6.6844 Å; angles 90.00, 90.00, 90.00 degrees
Space group F-43m (No. 216)
Unique sites:
Tb 0.0000 0.0000 0.0000
Hf 0.0000 0.0000 0.5000
Ir 0.2500 0.2500 0.7500
Os 0.2500 0.2500 0.2500

Calculated values
VASP energy, eV/atom: -9.248


This record from Alexandria describes a relaxed structure of CaNb2Ir2. The functional is PBE-GGA.

Cell lengths 4.4814, 4.4814, 10.4550 Å; angles 90.00, 90.00, 90.00 degrees
Space group I4/mmm (No. 139)
Unique sites:
Ca 0.0000 0.0000 0.0000
Nb 0.0000 0.5000 0.2500
Ir 0.0000 0.0000 0.3752

Calculated values
E above lowest polymorph, eV/f.u.: 0.00


| no. | DOS at the Fermi energy (states/eV per atom) |
| --- | --- |
| 1 | 0.304 |
| 2 | 0.526 |